SrPF2 after structural relaxation, computed with PBE.

Cell and atoms, written as POSCAR:
```
SrPF2
1.0
3.695 0.000 0.000
-1.848 3.200 0.000
0.000 0.000 26.798
Sr P F
3 3 6
direct
0.000 0.000 0.000 Sr
0.333 0.667 0.667 Sr
0.667 0.333 0.333 Sr
0.000 0.000 0.500 P
0.333 0.667 0.167 P
0.667 0.333 0.833 P
0.000 0.000 0.374 F
0.000 0.000 0.626 F
0.333 0.667 0.041 F
0.333 0.667 0.293 F
0.667 0.333 0.707 F
0.667 0.333 0.959 F
```

Results
For the excess energy over the best structure of this formula in the dataset, the calculation gives 0.0 meV per atom. The density of states at the Fermi level comes out at 0.23 states/eV/atom. Its space-group type is R-3m, No. 166. The uncorrected formation energy comes out at -1.98 eV per atom.